# 1
DFT (PBE) results for a relaxed structure of Er8Sn2Os.

Unit cell a=9.9053 b=9.9053 c=6.5756 alpha=105.88 beta=105.88 gamma=29.13
Last column: nearest neighbours and their distance in Å.
Positions (direct):
Er 0.0215 0.0215 0.2904  2 Os 2.93, 1 Er 3.09, 1 Sn 3.14
Er 0.2187 0.2187 0.8189  3 Sn 3.13-3.26, 4 Er 3.32-3.42
Er 0.3551 0.3551 0.5033  1 Os 2.78
Er 0.4119 0.4119 0.0493  1 Os 2.97
Er 0.5881 0.5881 0.9507  1 Os 2.97
Er 0.6449 0.6449 0.4967  1 Os 2.78
Er 0.7813 0.7813 0.1811  3 Sn 3.13-3.26, 4 Er 3.32-3.42
Er 0.9785 0.9785 0.7096  2 Os 2.93, 1 Er 3.09, 1 Sn 3.14
Sn 0.1811 0.1811 0.2527  9 Er 3.13-3.37
Sn 0.8189 0.8189 0.7473  9 Er 3.13-3.37
Os 0.5000 0.5000 0.5000  8 Er 2.78-2.97

## Properties
DFT formation energy	-0.362	eV per atom
spin magnetization	0.0	μB/f.u.
SG	C2/m
total energy	-5.429	eV per atom

# 2
DFT (PBE) results for a relaxed structure of CaAcYCd.

Unit cell a=5.7568 b=5.7568 c=5.7568 alpha=60.00 beta=60.00 gamma=60.00
Last column: nearest neighbours and their distance in Å.
Positions (direct):
Ca 0.0000 0.0000 0.0000  4 Ac 3.53, 4 Cd 3.53
Ac 0.7500 0.7500 0.7500  4 Y 3.53, 4 Ca 3.53
Y 0.5000 0.5000 0.5000  4 Ac 3.53, 4 Cd 3.53
Cd 0.2500 0.2500 0.2500  4 Ca 3.53, 4 Y 3.53

## Properties
DFT formation energy	0.083	eV per atom
spin magnetization	0.0	μB/f.u.
SG	F-43m
excess energy over the best structure of this formula in the dataset	227	meV/atom
total energy	-3.290	eV per atom

# 3
DFT (PBE) results for a relaxed structure of CaCu4Au8.

Unit cell a=7.0372 b=7.0372 c=7.0372 alpha=98.13 beta=98.13 gamma=135.81
Last column: nearest neighbours and their distance in Å.
Positions (direct):
Ca 0.0000 0.0000 0.0000  12 Au 3.13-3.33
Cu 0.0000 0.0000 0.5000  2 Cu 2.65, 8 Au 2.67-2.78
Cu 0.0000 0.5000 0.0000  2 Cu 2.65, 8 Au 2.67-2.78
Cu 0.5000 0.0000 0.0000  2 Cu 2.65, 8 Au 2.67-2.78
Cu 0.5000 0.5000 0.5000  2 Cu 2.65, 8 Au 2.67-2.78
Au 0.0000 0.3390 0.3390  4 Cu 2.78, 5 Au 2.87-2.98
Au 0.0000 0.6610 0.6610  4 Cu 2.78, 5 Au 2.87-2.98
Au 0.2800 0.5000 0.7800  4 Cu 2.67, 6 Au 2.87-2.98
Au 0.3390 0.0000 0.3390  4 Cu 2.78, 5 Au 2.87-2.98
Au 0.5000 0.2800 0.7800  4 Cu 2.67, 6 Au 2.87-2.98
Au 0.5000 0.7200 0.2200  4 Cu 2.67, 6 Au 2.87-2.98
Au 0.6610 0.0000 0.6610  4 Cu 2.78, 5 Au 2.87-2.98
Au 0.7200 0.5000 0.2200  4 Cu 2.67, 6 Au 2.87-2.98

## Properties
DFT formation energy	-0.223	eV per atom
spin magnetization	0.0	μB/f.u.
SG	I4/mmm
total energy	-3.655	eV per atom

# 4
DFT (PBE) results for a relaxed structure of Sn2TeS.

Unit cell a=8.2575 b=8.2575 c=8.2575 alpha=29.52 beta=29.52 gamma=29.52
Last column: nearest neighbours and their distance in Å.
Positions (direct):
Sn 0.0000 0.0000 0.0000  3 Te 3.01, 3 S 3.22
Sn 0.1854 0.1854 0.1854  3 S 2.80
Te 0.4082 0.4082 0.4082  3 Sn 3.01
S 0.5776 0.5776 0.5776  3 Sn 2.80

## Properties
spin magnetization	0.0	μB/f.u.
SG	R3m
excess energy over the best structure of this formula in the dataset	52	meV/atom
total energy	-4.091	eV per atom
formation energy without anion corrections	-0.273	eV/atom

# 5
DFT (PBE) results for a relaxed structure of BeSnAs2Se.

Unit cell a=4.4799 b=4.4799 c=5.1442 alpha=90.00 beta=90.00 gamma=90.00
Last column: nearest neighbours and their distance in Å.
Positions (direct):
Be 0.0000 0.0000 0.0000  4 As 2.24
Sn 0.5000 0.5000 0.5000  4 Se 3.17, 8 As 3.41
As 0.0000 0.5000 0.0000  2 Be 2.24
As 0.5000 0.0000 0.0000  2 Be 2.24
Se 0.0000 0.0000 0.5000  2 Be 2.57

## Properties
spin magnetization	0.0	μB/f.u.
SG	P4/mmm
excess energy over the best structure of this formula in the dataset	0	meV/atom
total energy	-3.810	eV per atom
formation energy without anion corrections	0.292	eV/atom

# 6
DFT (PBE) results for a relaxed structure of Ca3U3ReN8.

Unit cell a=6.8722 b=6.8722 c=6.8722 alpha=58.40 beta=58.40 gamma=58.40
Last column: nearest neighbours and their distance in Å.
Positions (direct):
Ca 0.0000 0.5000 0.5000  6 N 2.49-2.57
Ca 0.5000 0.0000 0.5000  6 N 2.49-2.57
Ca 0.5000 0.5000 0.0000  6 N 2.49-2.57
U 0.0000 0.0000 0.5000  6 N 2.26-2.32
U 0.0000 0.5000 0.0000  6 N 2.26-2.32
U 0.5000 0.0000 0.0000  6 N 2.26-2.32
Re 0.5000 0.5000 0.5000  6 N 2.21
N 0.2393 0.7295 0.7295  1 Re 2.21, 2 U 2.26
N 0.2416 0.2416 0.2416  3 U 2.32, 3 Ca 2.49
N 0.2705 0.2705 0.7607  1 Re 2.21, 2 U 2.26
N 0.2705 0.7607 0.2705  1 Re 2.21, 2 U 2.26
N 0.7295 0.2393 0.7295  1 Re 2.21, 2 U 2.26
N 0.7295 0.7295 0.2393  1 Re 2.21, 2 U 2.26
N 0.7584 0.7584 0.7584  3 U 2.32, 3 Ca 2.49
N 0.7607 0.2705 0.2705  1 Re 2.21, 2 U 2.26

## Properties
spin magnetization	1.1	μB/f.u.
SG	R-3m
total energy	-8.964	eV per atom
formation energy without anion corrections	-1.036	eV/atom

# 7
DFT (PBE) results for a relaxed structure of AcNpFe4.

Unit cell a=5.2124 b=5.2124 c=5.2124 alpha=60.00 beta=60.00 gamma=60.00
Last column: nearest neighbours and their distance in Å.
Positions (direct):
Ac 0.0000 0.0000 0.0000  12 Fe 3.06, 4 Np 3.19
Np 0.7500 0.7500 0.7500  12 Fe 3.05, 4 Ac 3.19
Fe 0.3763 0.3763 0.3763  6 Fe 2.58-2.63
Fe 0.3763 0.3763 0.8710  6 Fe 2.58-2.63
Fe 0.3763 0.8710 0.3763  6 Fe 2.58-2.63
Fe 0.8710 0.3763 0.3763  6 Fe 2.58-2.63

## Properties
DFT formation energy	0.201	eV per atom
spin magnetization	3.7	μB/f.u.
SG	F-43m
total energy	-8.283	eV per atom

# 8
DFT (PBE) results for a relaxed structure of Sc2Zn3Pt.

Unit cell a=8.7896 b=8.2021 c=5.3881 alpha=77.55 beta=65.68 gamma=36.77
Last column: nearest neighbours and their distance in Å.
Positions (direct):
Sc 0.2450 0.7550 0.7550  2 Pt 2.93, 10 Zn 2.96-2.98, 2 Sc 3.02-3.15
Sc 0.2500 0.2500 0.2500  8 Zn 2.98-2.99, 4 Pt 2.99, 2 Sc 3.09
Sc 0.7500 0.7500 0.7500  8 Zn 2.98-2.99, 4 Pt 2.99, 2 Sc 3.09
Sc 0.7550 0.2450 0.2450  2 Pt 2.93, 10 Zn 2.96-2.98, 2 Sc 3.02-3.15
Zn 0.1718 0.6643 0.3357  2 Zn 2.49-2.51, 1 Pt 2.57
Zn 0.3350 0.3350 0.6650  2 Zn 2.51, 1 Pt 2.58
Zn 0.3357 0.8282 0.1718  2 Zn 2.49-2.51, 1 Pt 2.57
Zn 0.6643 0.1718 0.8282  2 Zn 2.49-2.51, 1 Pt 2.57
Zn 0.6650 0.6650 0.3350  2 Zn 2.51, 1 Pt 2.58
Zn 0.8282 0.3357 0.6643  2 Zn 2.49-2.51, 1 Pt 2.57
Pt 0.1652 0.1652 0.8348  3 Zn 2.57-2.58
Pt 0.8348 0.8348 0.1652  3 Zn 2.57-2.58

## Properties
DFT formation energy	-0.613	eV per atom
spin magnetization	0.0	μB/f.u.
SG	Fmmm
total energy	-4.368	eV per atom

# 9
DFT (PBE) results for a relaxed structure of TlTcO5.

Unit cell a=5.5535 b=5.5535 c=5.5535 alpha=140.54 beta=106.39 gamma=86.89
Last column: nearest neighbours and their distance in Å.
Positions (direct):
Tl 0.0000 0.0000 0.0000  6 O 2.20-2.34
Tc 0.5000 0.5000 0.0000  6 O 1.83-1.93
O 0.2097 0.5000 0.7097  1 Tc 1.93
O 0.2728 0.2728 0.0000  1 Tc 1.83
O 0.5000 0.0000 0.5000  2 Tc 1.87
O 0.7272 0.7272 0.0000  1 Tc 1.83
O 0.7903 0.5000 0.2903  1 Tc 1.93

## Properties
spin magnetization	0.0	μB/f.u.
SG	Immm
excess energy over the best structure of this formula in the dataset	103	meV/atom
total energy	-6.200	eV per atom
formation energy without anion corrections	-0.840	eV/atom

# 10
DFT (PBE) results for a relaxed structure of Tb3AlC.

Unit cell a=4.9136 b=4.9136 c=4.9136 alpha=90.00 beta=90.00 gamma=90.00
Last column: nearest neighbours and their distance in Å.
Positions (direct):
Tb 0.0000 0.0000 0.5000  2 C 2.46
Tb 0.0000 0.5000 0.0000  2 C 2.46
Tb 0.5000 0.0000 0.0000  2 C 2.46
Al 0.5000 0.5000 0.5000  12 Tb 3.47
C 0.0000 0.0000 0.0000  6 Tb 2.46

## Properties
DFT formation energy	-0.362	eV per atom
spin magnetization	0.0	μB/f.u.
SG	Pm-3m
excess energy over the best structure of this formula in the dataset	0	meV/atom
total energy	-5.734	eV per atom

# 11
DFT (PBE) results for a relaxed structure of CaAcPmMg.

Unit cell a=3.8195 b=3.8195 c=9.8654 alpha=90.00 beta=90.00 gamma=90.00
Last column: nearest neighbours and their distance in Å.
Positions (direct):
Ca 0.0000 0.0000 0.0000  4 Mg 3.45, 4 Ca 3.82
Ac 0.5000 0.5000 0.6929  4 Pm 3.77, 4 Ac 3.82, 4 Ca 4.06
Pm 0.0000 0.0000 0.4259  4 Mg 3.39, 4 Ac 3.77
Mg 0.5000 0.5000 0.2180  4 Pm 3.39, 4 Ca 3.45

## Properties
DFT formation energy	-0.016	eV per atom
spin magnetization	0.0	μB/f.u.
SG	P4mm
excess energy over the best structure of this formula in the dataset	0	meV/atom
total energy	-3.130	eV per atom

# 12
DFT (PBE) results for a relaxed structure of Tm7Ge2Pt2.

Unit cell a=6.6949 b=6.6949 c=6.8599 alpha=90.00 beta=90.00 gamma=99.91
Last column: nearest neighbours and their distance in Å.
Positions (direct):
Tm 0.0000 0.0000 0.0000  2 Pt 2.86
Tm 0.0000 0.5000 0.2552  2 Pt 2.79, 2 Ge 3.07
Tm 0.0000 0.5000 0.7448  2 Pt 2.79, 2 Ge 3.07
Tm 0.5000 0.0000 0.2552  2 Pt 2.79, 2 Ge 3.07
Tm 0.5000 0.0000 0.7448  2 Pt 2.79, 2 Ge 3.07
Tm 0.5000 0.5000 0.2479  2 Pt 2.83, 2 Ge 2.97
Tm 0.5000 0.5000 0.7521  2 Pt 2.83, 2 Ge 2.97
Ge 0.2203 0.2203 0.5000  6 Tm 2.97-3.07
Ge 0.7797 0.7797 0.5000  6 Tm 2.97-3.07
Pt 0.2790 0.7210 0.0000  7 Tm 2.79-2.86
Pt 0.7210 0.2790 0.0000  7 Tm 2.79-2.86

## Properties
DFT formation energy	-0.621	eV per atom
spin magnetization	0.0	μB/f.u.
SG	Cmmm
total energy	-5.404	eV per atom